1.
# NdSm2Pa2Ru5, optimized geometry, DFT PBE-GGA
data_NdSm2Pa2Ru5
_chemical_formula_sum 'Nd2 Sm4 Pa4 Ru10'
_cell_length_a 10.554
_cell_length_b 10.554
_cell_length_c 3.936
_cell_angle_alpha 90.00
_cell_angle_beta 90.00
_cell_angle_gamma 90.00
_space_group_name_H-M_alt 'P 1'
_space_group_IT_number 1
_space_group_name_Hall 'P 1'
loop_
_atom_site_label
_atom_site_type_symbol
_atom_site_fract_x
_atom_site_fract_y
_atom_site_fract_z
Nd1 Nd 0.000 0.000 0.000
Nd2 Nd 0.500 0.500 0.000
Sm1 Sm 0.176 0.324 0.000
Sm2 Sm 0.324 0.824 0.000
Sm3 Sm 0.676 0.176 0.000
Sm4 Sm 0.824 0.676 0.000
Pa1 Pa 0.125 0.625 0.000
Pa2 Pa 0.375 0.125 0.000
Pa3 Pa 0.625 0.875 0.000
Pa4 Pa 0.875 0.375 0.000
Ru1 Ru 0.000 0.500 0.500
Ru2 Ru 0.071 0.778 0.500
Ru3 Ru 0.222 0.071 0.500
Ru4 Ru 0.278 0.571 0.500
Ru5 Ru 0.429 0.278 0.500
Ru6 Ru 0.500 0.000 0.500
Ru7 Ru 0.571 0.722 0.500
Ru8 Ru 0.722 0.429 0.500
Ru9 Ru 0.778 0.929 0.500
Ru10 Ru 0.929 0.222 0.500
# E (eV per atom): -8.23
# ΔH_f (0 K) (eV/atom): -0.269
# Volume (Å³/cell): 438



2.
# Nd2SmPa2Ru5, optimized geometry, DFT PBE-GGA
data_Nd2SmPa2Ru5
_chemical_formula_sum 'Nd4 Sm2 Pa4 Ru10'
_cell_length_a 10.592
_cell_length_b 10.592
_cell_length_c 3.923
_cell_angle_alpha 90.00
_cell_angle_beta 90.00
_cell_angle_gamma 90.00
_space_group_name_H-M_alt 'P 1'
_space_group_IT_number 1
_space_group_name_Hall 'P 1'
loop_
_atom_site_label
_atom_site_type_symbol
_atom_site_fract_x
_atom_site_fract_y
_atom_site_fract_z
Nd1 Nd 0.176 0.324 0.000
Nd2 Nd 0.324 0.824 0.000
Nd3 Nd 0.676 0.176 0.000
Nd4 Nd 0.824 0.676 0.000
Sm1 Sm 0.000 0.000 0.000
Sm2 Sm 0.500 0.500 0.000
Pa1 Pa 0.125 0.625 0.000
Pa2 Pa 0.375 0.125 0.000
Pa3 Pa 0.625 0.875 0.000
Pa4 Pa 0.875 0.375 0.000
Ru1 Ru 0.000 0.500 0.500
Ru2 Ru 0.070 0.779 0.500
Ru3 Ru 0.221 0.070 0.500
Ru4 Ru 0.279 0.570 0.500
Ru5 Ru 0.430 0.279 0.500
Ru6 Ru 0.500 0.000 0.500
Ru7 Ru 0.570 0.721 0.500
Ru8 Ru 0.721 0.430 0.500
Ru9 Ru 0.779 0.930 0.500
Ru10 Ru 0.930 0.221 0.500
# E (eV per atom): -8.21
# ΔH_f (0 K) (eV/atom): -0.252
# Volume (Å³/cell): 440